# 1
The following is a DFT calculation (SCAN) of a crystal of Zn2Mo2Ru relaxed with PBEsol.

a b c (Å): 3.319 3.319 7.327
angles (deg): 103.09 103.09 90.00
Element x y z (fractional)
Mo 0.589 0.589 0.179
Mo 0.411 0.411 0.821
Ru 0.000 0.000 0.000
Zn 0.250 0.750 0.500
Zn 0.750 0.250 0.500

## Properties
Space-group type: I4/mmm (139)
ΔE_f (kJ per mole of atoms): 58.1

---

# 2
The following is a DFT calculation (SCAN) of a crystal of Zn2MoRu relaxed with PBEsol.

a b c (Å): 4.273 4.272 4.273
angles (deg): 120.01 90.00 120.01
Element x y z (fractional)
Mo 0.500 0.000 0.500
Ru 0.250 0.500 0.750
Zn 0.000 0.000 0.000
Zn 0.750 0.500 0.250

## Properties
Space-group type: F-43m (216)
Relative energy among the computed polymorphs (meV/atom): 25
ΔE_f (kJ per mole of atoms): -1.7

---

# 3
The following is a DFT calculation (SCAN) of a crystal of Zn2MoRu relaxed with PBEsol.

a b c (Å): 2.932 2.932 6.530
angles (deg): 90.00 90.00 90.00
Element x y z (fractional)
Ru 0.500 0.500 0.745
Mo 0.000 0.000 0.518
Zn 0.000 0.000 0.998
Zn 0.500 0.500 0.239

## Properties
Space-group type: P4mm (99)
Relative energy among the computed polymorphs (meV/atom): 0
ΔE_f (kJ per mole of atoms): -4.1

---

# 4
The following is a DFT calculation (SCAN) of a crystal of ZnMoRu2 relaxed with PBEsol.

a b c (Å): 3.036 3.036 5.972
angles (deg): 90.00 90.00 90.00
Element x y z (fractional)
Ru 0.000 0.000 0.753
Ru 0.000 0.000 0.247
Mo 0.500 0.500 0.500
Zn 0.500 0.500 0.000

## Properties
Space-group type: P4/mmm (123)
ΔE_f (kJ per mole of atoms): -7.1

---

# 5
The following is a DFT calculation (SCAN) of a crystal of ZnMoRu2 relaxed with PBEsol.

a b c (Å): 2.980 4.130 4.518
angles (deg): 90.00 90.00 90.00
Element x y z (fractional)
Mo 0.000 0.500 0.500
Ru 0.000 0.000 0.000
Ru 0.500 0.000 0.500
Zn 0.500 0.500 0.000

## Properties
Space-group type: Pmmm (47)
ΔE_f (kJ per mole of atoms): 28.7

---

# 6
The following is a DFT calculation (SCAN) of a crystal of ZnMoRu2 relaxed with PBEsol.

a b c (Å): 2.664 2.664 8.668
angles (deg): 90.00 90.00 114.34
Element x y z (fractional)
Mo 0.500 0.500 0.000
Ru 0.000 0.000 0.251
Ru 0.000 0.000 0.749
Zn 0.500 0.500 0.500

## Properties
Space-group type: Cmmm (65)
ΔE_f (kJ per mole of atoms): 17.4

---

no.,final energy (eV/cell)
1,-128.6
2,-96.8
3,-96.9
4,-118.3
5,-116.9
6,-117.3